Density functional theory data (GGA-PBE) for Cr3Pt after structural relaxation.

Lattice parameters (Å, degrees): 4.273 4.273 4.273 60.00 60.00 60.00
Last column: magnetic moment on the atom in μB.
Atoms (fractional coordinates):
Pt (0.250, 0.250, 0.250)  0.39
Cr (0.000, 0.000, 0.000)  2.63
Cr (0.500, 0.500, 0.500)  2.63
Cr (0.750, 0.750, 0.750)  -1.91

## Properties
N(E_F)   0.99 states/eV/atom
Space group   Fm-3m, No. 225
Total moment   0.99 μB/atom
DFT formation energy   0.03 eV/atom